1.
! Sm2Hf2Mo7O28, relaxed, DFT PBE+U; values from VASP
&SYSTEM
  ibrav = 0, nat = 78, ntyp = 4
/
ATOMIC_SPECIES
Mo 95.94 Mo.upf
O 16.00 O.upf
Hf 178.49 Hf.upf
Sm 150.36 Sm.upf
CELL_PARAMETERS angstrom
-2.3631 11.5005 1.3194
-10.4302 5.5451 0.2242
-3.6405 2.4648 13.4132
ATOMIC_POSITIONS crystal
Mo 0.5067 0.9817 0.1726
Mo 0.8039 0.0776 0.1472
Mo 0.0183 0.4933 0.3274
Mo 0.5495 0.7727 0.5210
Mo 0.0776 0.8039 0.6472
Mo 0.2929 0.7071 0.2500
Mo 0.2273 0.4505 0.9790
Mo 0.9224 0.1961 0.3528
Mo 0.9817 0.5067 0.6726
Mo 0.7071 0.2929 0.7500
Mo 0.4505 0.2273 0.4790
Mo 0.4933 0.0183 0.8274
Mo 0.7727 0.5495 0.0210
Mo 0.1961 0.9224 0.8528
O 0.0397 0.3336 0.6585
O 0.2041 0.0211 0.7279
O 0.6364 0.0720 0.4914
O 0.3732 0.7331 0.8628
O 0.6672 0.8286 0.4671
O 0.5201 0.8699 0.7867
O 0.0961 0.9480 0.6231
O 0.0720 0.6364 0.9914
O 0.6320 0.6052 0.9525
O 0.0550 0.3726 0.4450
O 0.8405 0.9741 0.0599
O 0.1355 0.7513 0.3444
O 0.0520 0.9039 0.8769
O 0.4799 0.1301 0.2133
O 0.2669 0.6268 0.6372
O 0.1595 0.0259 0.9401
O 0.3680 0.3948 0.0475
O 0.9039 0.0520 0.3769
O 0.6052 0.6320 0.4525
O 0.8286 0.6672 0.9671
O 0.3726 0.0550 0.9450
O 0.2487 0.8645 0.1556
O 0.9480 0.0961 0.1231
O 0.3041 0.4314 0.8451
O 0.3336 0.0397 0.1585
O 0.7331 0.3732 0.3628
O 0.7513 0.1355 0.8444
O 0.1301 0.4799 0.7133
O 0.8699 0.5201 0.2867
O 0.0259 0.1595 0.4401
O 0.0211 0.2041 0.2279
O 0.8645 0.2487 0.6556
O 0.9603 0.6664 0.3415
O 0.6959 0.5686 0.1549
O 0.6274 0.9450 0.0550
O 0.5686 0.6959 0.6549
O 0.4157 0.1904 0.7363
O 0.9280 0.3636 0.0086
O 0.6664 0.9603 0.8415
O 0.9741 0.8405 0.5599
O 0.3636 0.9280 0.5086
O 0.4314 0.3041 0.3451
O 0.1904 0.4157 0.2363
O 0.3948 0.3680 0.5475
O 0.7959 0.9789 0.2721
O 0.8096 0.5843 0.7637
O 0.5843 0.8096 0.2637
O 0.3328 0.1714 0.5329
O 0.6268 0.2669 0.1372
O 0.4427 0.6514 0.3084
O 0.3486 0.5573 0.1916
O 0.9450 0.6274 0.5550
O 0.6514 0.4427 0.8084
O 0.5573 0.3486 0.6916
O 0.1714 0.3328 0.0329
O 0.9789 0.7959 0.7721
Hf 0.6506 0.5901 0.3075
Hf 0.3494 0.4099 0.6925
Hf 0.4099 0.3494 0.1925
Hf 0.5901 0.6506 0.8075
Sm 0.1255 0.1446 0.5686
Sm 0.8745 0.8554 0.4314
Sm 0.1446 0.1255 0.0686
Sm 0.8554 0.8745 0.9314
! - symmetry = C2/c
! - spin magnetization (Bohr magnetons per cell) = 0.0

=====

2.
! HfSnMoO6, relaxed, DFT PBE+U; values from VASP
&SYSTEM
  ibrav = 0, nat = 18, ntyp = 4
/
ATOMIC_SPECIES
Sn 118.71 Sn.upf
O 16.00 O.upf
Mo 95.94 Mo.upf
Hf 178.49 Hf.upf
CELL_PARAMETERS angstrom
-3.1190 -3.6039 -0.7457
1.7945 -2.3426 3.8163
-6.4627 4.4049 5.7428
ATOMIC_POSITIONS crystal
Sn 0.0000 0.0000 0.9998
Sn 0.5000 0.5000 0.4998
O 0.3053 0.3053 0.3321
O 0.6990 0.6990 0.6672
O 0.8053 0.1947 0.8321
O 0.3010 0.3010 0.6672
O 0.8010 0.1990 0.1672
O 0.1954 0.8046 0.4993
O 0.6954 0.6954 0.9993
O 0.1947 0.8053 0.8321
O 0.3046 0.3046 0.9993
O 0.1990 0.8010 0.1672
O 0.8046 0.1954 0.4993
O 0.6947 0.6947 0.3321
Mo 0.0000 0.0000 0.6667
Mo 0.5000 0.5000 0.1667
Hf 0.5000 0.5000 0.8363
Hf 0.0000 0.0000 0.3363
! - symmetry = P4_2nm
! - spin magnetization (Bohr magnetons per cell) = 4.0

=====

3.
! Tb2Hf2Mo7O28, relaxed, DFT PBE+U; values from VASP
&SYSTEM
  ibrav = 0, nat = 78, ntyp = 4
/
ATOMIC_SPECIES
Mo 95.94 Mo.upf
O 16.00 O.upf
Tb 158.93 Tb.upf
Hf 178.49 Hf.upf
CELL_PARAMETERS angstrom
-6.0206 -0.1138 10.0712
0.2495 -7.8120 8.7522
8.1100 4.8232 10.4028
ATOMIC_POSITIONS crystal
Mo 0.9262 0.1935 0.3531
Mo 0.5461 0.7756 0.5215
Mo 0.2244 0.4539 0.9785
Mo 0.0180 0.4944 0.3291
Mo 0.5056 0.9820 0.1709
Mo 0.7756 0.5461 0.0215
Mo 0.8065 0.0738 0.1469
Mo 0.1935 0.9262 0.8531
Mo 0.7088 0.2912 0.7500
Mo 0.0738 0.8065 0.6469
Mo 0.9820 0.5056 0.6709
Mo 0.4944 0.0180 0.8291
Mo 0.2912 0.7088 0.2500
Mo 0.4539 0.2244 0.4785
O 0.4833 0.1288 0.2112
O 0.8712 0.5167 0.2888
O 0.1916 0.4165 0.2371
O 0.4366 0.3012 0.3434
O 0.0882 0.9559 0.6160
O 0.1288 0.4833 0.7112
O 0.8084 0.5835 0.7629
O 0.6261 0.9445 0.0516
O 0.5167 0.8712 0.7888
O 0.1320 0.7511 0.3451
O 0.3967 0.3682 0.5452
O 0.1693 0.3338 0.0334
O 0.6316 0.2667 0.1333
O 0.8374 0.9651 0.0656
O 0.3739 0.0555 0.9484
O 0.9564 0.6709 0.3410
O 0.3682 0.3967 0.0452
O 0.7511 0.1320 0.8451
O 0.6505 0.4408 0.8105
O 0.0441 0.9118 0.8840
O 0.4408 0.6505 0.3105
O 0.2027 0.0177 0.7239
O 0.0679 0.6409 0.9924
O 0.3012 0.4366 0.8434
O 0.6988 0.5634 0.1566
O 0.5835 0.8084 0.2629
O 0.3495 0.5592 0.1895
O 0.0349 0.1626 0.4344
O 0.3591 0.9321 0.5076
O 0.5592 0.3495 0.6895
O 0.3338 0.1693 0.5334
O 0.1626 0.0349 0.9344
O 0.3291 0.0436 0.1590
O 0.8680 0.2489 0.6549
O 0.4165 0.1916 0.7371
O 0.2489 0.8680 0.1549
O 0.6318 0.6033 0.9548
O 0.0177 0.2027 0.2239
O 0.3684 0.7333 0.8667
O 0.0555 0.3739 0.4484
O 0.7333 0.3684 0.3667
O 0.5634 0.6988 0.6566
O 0.9321 0.3591 0.0076
O 0.7973 0.9823 0.2761
O 0.0436 0.3291 0.6590
O 0.6709 0.9564 0.8410
O 0.9445 0.6261 0.5516
O 0.8307 0.6662 0.9666
O 0.9118 0.0441 0.3840
O 0.6033 0.6318 0.4548
O 0.6662 0.8307 0.4666
O 0.9559 0.0882 0.1160
O 0.2667 0.6316 0.6333
O 0.9651 0.8374 0.5656
O 0.9823 0.7973 0.7761
O 0.6409 0.0679 0.4924
Tb 0.1455 0.1251 0.0676
Tb 0.1251 0.1455 0.5676
Tb 0.8749 0.8545 0.4324
Tb 0.8545 0.8749 0.9324
Hf 0.5872 0.6506 0.8099
Hf 0.3494 0.4128 0.6901
Hf 0.6506 0.5872 0.3099
Hf 0.4128 0.3494 0.1901
! - symmetry = C2/c
! - spin magnetization (Bohr magnetons per cell) = 0.0

=====

4.
! HfTlMoO6, relaxed, DFT PBE+U; values from VASP
&SYSTEM
  ibrav = 0, nat = 9, ntyp = 4
/
ATOMIC_SPECIES
O 16.00 O.upf
Hf 178.49 Hf.upf
Tl 204.38 Tl.upf
Mo 95.94 Mo.upf
CELL_PARAMETERS angstrom
-2.8229 2.4539 -3.9112
1.8986 0.0751 -5.0674
-2.4462 -4.3785 -0.9814
ATOMIC_POSITIONS crystal
O 0.0170 0.3702 0.2856
O 0.3701 0.0170 0.7144
O 0.6128 0.0170 0.2856
O 0.3701 0.6128 0.2856
O 0.0170 0.6128 0.7144
O 0.6128 0.3702 0.7144
Hf 0.6666 0.6667 0.5000
Tl 0.0000 0.0000 0.0000
Mo 0.3333 0.3333 0.5000
! - symmetry = P312
! - spin magnetization (Bohr magnetons per cell) = 0.0

=====

Record order is preserved below.
E: -7.77 -7.93 -7.77 -7.41 eV/atom